## SmHo2Sb2 (PBE-GGA)

Data for a relaxed SmHo2Sb2 crystal.

Fermi-level density of states: 0.8273 states/eV/atom
raw formation energy: -0.641 eV per atom
volume: 29.098 Å³ per atom
raw total energy: -5.065 eV/atom
space group: C2/m (12)

Unit cell a=4.492 b=4.492 c=7.886 alpha=73.39 beta=73.39 gamma=90.33
Sites, in units of the cell vectors:
Sm: 0.000 0.000 0.000
Ho: 0.249 0.751 0.500
Ho: 0.751 0.249 0.500
Sb: 0.399 0.399 0.207
Sb: 0.601 0.601 0.793